First-principles (PBE-GGA) data for ZnCrS2 after structural relaxation, as listed in the Alexandria database.

Properties
ΔE_f (raw) ... -511 meV per atom
Space group ... P2_1/m (11)
Total DFT energy (no corrections) ... -5.30 eV/atom
Mass density ... 3.9 g cm⁻³
V ... 154.7 Å³ per cell

The structure in POSCAR format:
```
ZnCrS2
1.0
6.306 0.000 0.000
0.000 3.503 0.000
-2.115 0.000 7.004
Zn Cr S
2 2 4
Cartesian
0.928 0.876 0.005
3.263 2.628 6.999
0.509 2.628 3.493
3.682 0.876 3.511
-0.515 0.876 4.759
1.624 0.876 2.247
2.568 2.628 4.757
4.706 2.628 2.245
```